Material: ZnSb4W
Method: DFT, PBE
State: relaxed

The structure in POSCAR format:
```
ZnSb4W
1.0
-2.375 -4.309 3.644
-5.522 0.820 2.515
-4.761 -3.342 -1.911
Zn Sb W
1 4 1
direct
0.000 0.000 0.000 Zn
0.877 0.374 0.374 Sb
0.374 0.374 0.877 Sb
0.374 0.877 0.374 Sb
0.374 0.374 0.374 Sb
0.750 0.750 0.750 W
```

Calculated values
Raw formation energy (kJ per mole of atoms): 114
Total moment (μB/atom): 0.676
V (Å³ per atom): 27.05